Record 1
Crystalline KNaCeCl5 at its relaxed geometry. Source: Alexandria via LeMat-Bulk, functional PBE.

Cell lengths 7.8828, 7.8828, 10.2551 Å; angles 101.67, 101.67, 111.51 degrees
Atoms (fractional coordinates):
K (0.1442, 0.8558, 0.7500)
K (0.8558, 0.1442, 0.2500)
Na (0.1854, 0.8146, 0.2500)
Na (0.8146, 0.1854, 0.7500)
Ce (0.5000, 0.5000, 0.0000)
Ce (0.5000, 0.5000, 0.5000)
Cl (0.1281, 0.2396, 0.9456)
Cl (0.1882, 0.5588, 0.3830)
Cl (0.2396, 0.1281, 0.4456)
Cl (0.4090, 0.5910, 0.7500)
Cl (0.4412, 0.8118, 0.1170)
Cl (0.5588, 0.1882, 0.8830)
Cl (0.5910, 0.4090, 0.2500)
Cl (0.7604, 0.8719, 0.5544)
Cl (0.8118, 0.4412, 0.6170)
Cl (0.8719, 0.7604, 0.0544)

The calculation puts the spin magnetization at 1.00 μB per formula unit. The formation energy without anion corrections comes out at -2035 meV per atom.


Record 2
Crystalline KCeNiCl6 at its relaxed geometry. Source: Alexandria via LeMat-Bulk, functional PBE.

Cell lengths 6.7221, 6.7221, 13.9539 Å; angles 90.00, 90.00, 120.00 degrees
Atoms (fractional coordinates):
K (0.0000, 0.0000, 0.0000)
K (0.0000, 0.0000, 0.5000)
Ce (0.3333, 0.6667, 0.2500)
Ce (0.6667, 0.3333, 0.7500)
Ni (0.3333, 0.6667, 0.7500)
Ni (0.6667, 0.3333, 0.2500)
Cl (0.0304, 0.3804, 0.6451)
Cl (0.0304, 0.6500, 0.8549)
Cl (0.3500, 0.3804, 0.8549)
Cl (0.3500, 0.9696, 0.6451)
Cl (0.3804, 0.0304, 0.1451)
Cl (0.3804, 0.3500, 0.3549)
Cl (0.6196, 0.6500, 0.6451)
Cl (0.6196, 0.9696, 0.8549)
Cl (0.6500, 0.0304, 0.3549)
Cl (0.6500, 0.6196, 0.1451)
Cl (0.9696, 0.3500, 0.1451)
Cl (0.9696, 0.6196, 0.3549)

The calculation puts the spin magnetization at 2.44 μB per formula unit. The formation energy without anion corrections comes out at -1607 meV per atom.


Record 3
Crystalline K2CeCl2O2 at its relaxed geometry. Source: Alexandria via LeMat-Bulk, functional PBE.

Cell lengths 4.3999, 4.3999, 16.8668 Å; angles 90.00, 90.00, 90.00 degrees
Atoms (fractional coordinates):
K (0.0000, 0.0000, 0.1345)
K (0.0000, 0.0000, 0.8655)
K (0.5000, 0.5000, 0.3655)
K (0.5000, 0.5000, 0.6345)
Ce (0.0000, 0.0000, 0.5000)
Ce (0.5000, 0.5000, 0.0000)
Cl (0.0000, 0.0000, 0.3306)
Cl (0.0000, 0.0000, 0.6694)
Cl (0.5000, 0.5000, 0.1694)
Cl (0.5000, 0.5000, 0.8306)
O (0.0000, 0.5000, 0.0000)
O (0.0000, 0.5000, 0.5000)
O (0.5000, 0.0000, 0.0000)
O (0.5000, 0.0000, 0.5000)

The calculation puts the spin magnetization at 0.00 μB per formula unit. The formation energy without anion corrections comes out at -2444 meV per atom.


Record 4
Crystalline K2CePbCl8 at its relaxed geometry. Source: Alexandria via LeMat-Bulk, functional PBE.

Cell lengths 6.8845, 8.8919, 7.1213 Å; angles 90.00, 92.45, 90.00 degrees
Atoms (fractional coordinates):
K (0.0000, 0.2452, 0.0000)
K (0.0000, 0.7548, 0.0000)
Ce (0.5000, 0.5000, 0.5000)
Pb (0.5000, 0.0000, 0.5000)
Cl (0.2381, 0.0000, 0.1922)
Cl (0.2607, 0.5000, 0.2043)
Cl (0.2981, 0.2775, 0.6491)
Cl (0.2981, 0.7225, 0.6491)
Cl (0.7019, 0.2775, 0.3509)
Cl (0.7019, 0.7225, 0.3509)
Cl (0.7393, 0.5000, 0.7957)
Cl (0.7619, 0.0000, 0.8078)

The calculation puts the spin magnetization at 0.09 μB per formula unit. The formation energy without anion corrections comes out at -1754 meV per atom.


Record 5
Crystalline KCePuCl6 at its relaxed geometry. Source: Alexandria via LeMat-Bulk, functional PBE.

Cell lengths 6.8355, 6.8355, 13.3205 Å; angles 90.00, 90.00, 90.00 degrees
Atoms (fractional coordinates):
K (0.0000, 0.0000, 0.0000)
K (0.5000, 0.5000, 0.5000)
Ce (0.0000, 0.0000, 0.3338)
Ce (0.5000, 0.5000, 0.8338)
Pu (0.0000, 0.0000, 0.6672)
Pu (0.5000, 0.5000, 0.1672)
Cl (0.1811, 0.1811, 0.4998)
Cl (0.2069, 0.2069, 0.1840)
Cl (0.2083, 0.2083, 0.8177)
Cl (0.2917, 0.7083, 0.3177)
Cl (0.2931, 0.7069, 0.6840)
Cl (0.3189, 0.6811, 0.9998)
Cl (0.6811, 0.3189, 0.9998)
Cl (0.7069, 0.2931, 0.6840)
Cl (0.7083, 0.2917, 0.3177)
Cl (0.7917, 0.7917, 0.8177)
Cl (0.7931, 0.7931, 0.1840)
Cl (0.8189, 0.8189, 0.4998)

The calculation puts the spin magnetization at 7.00 μB per formula unit. The formation energy without anion corrections comes out at -2015 meV per atom.


Record 6
Crystalline K2RbCeCl6 at its relaxed geometry. Source: Alexandria via LeMat-Bulk, functional PBE.

Cell lengths 7.6931, 8.1961, 13.4717 Å; angles 90.00, 124.03, 90.00 degrees
Atoms (fractional coordinates):
K (0.2148, 0.0723, 0.2435)
K (0.2148, 0.4277, 0.7435)
K (0.7852, 0.5723, 0.2565)
K (0.7852, 0.9277, 0.7565)
Rb (0.0000, 0.0000, 0.5000)
Rb (0.0000, 0.5000, 0.0000)
Ce (0.5000, 0.0000, 0.0000)
Ce (0.5000, 0.5000, 0.5000)
Cl (0.1466, 0.1764, 0.9347)
Cl (0.1466, 0.3236, 0.4347)
Cl (0.2484, 0.7226, 0.9126)
Cl (0.2484, 0.7774, 0.4126)
Cl (0.4195, 0.0726, 0.7760)
Cl (0.4195, 0.4274, 0.2760)
Cl (0.5805, 0.5726, 0.7240)
Cl (0.5805, 0.9274, 0.2240)
Cl (0.7516, 0.2226, 0.5874)
Cl (0.7516, 0.2774, 0.0874)
Cl (0.8534, 0.6764, 0.5653)
Cl (0.8534, 0.8236, 0.0653)

The calculation puts the spin magnetization at 1.00 μB per formula unit. The formation energy without anion corrections comes out at -2086 meV per atom.


Record 7
Crystalline KRbCeCl6 at its relaxed geometry. Source: Alexandria via LeMat-Bulk, functional PBE.

Cell lengths 7.7782, 7.7782, 13.1862 Å; angles 90.00, 90.00, 120.00 degrees
Atoms (fractional coordinates):
K (0.3333, 0.6667, 0.2500)
K (0.6667, 0.3333, 0.7500)
Rb (0.0000, 0.0000, 0.0000)
Rb (0.0000, 0.0000, 0.5000)
Ce (0.3333, 0.6667, 0.7500)
Ce (0.6667, 0.3333, 0.2500)
Cl (0.0507, 0.3904, 0.6359)
Cl (0.0507, 0.6603, 0.8641)
Cl (0.3397, 0.3904, 0.8641)
Cl (0.3397, 0.9493, 0.6359)
Cl (0.3904, 0.0507, 0.1359)
Cl (0.3904, 0.3397, 0.3641)
Cl (0.6096, 0.6603, 0.6359)
Cl (0.6096, 0.9493, 0.8641)
Cl (0.6603, 0.0507, 0.3641)
Cl (0.6603, 0.6096, 0.1359)
Cl (0.9493, 0.3397, 0.1359)
Cl (0.9493, 0.6096, 0.3641)

The calculation puts the spin magnetization at 0.00 μB per formula unit. The formation energy without anion corrections comes out at -2011 meV per atom.


Record 8
Crystalline K2RbCeCl8 at its relaxed geometry. Source: Alexandria via LeMat-Bulk, functional PBE.

Cell lengths 5.8765, 7.4581, 9.8820 Å; angles 90.08, 90.46, 90.04 degrees
Atoms (fractional coordinates):
K (0.0038, 0.9998, 0.2744)
K (0.9962, 0.0002, 0.7256)
Rb (0.5000, 0.5000, 0.0000)
Ce (0.5000, 0.5000, 0.5000)
Cl (0.2529, 0.3710, 0.2972)
Cl (0.2575, 0.3660, 0.7001)
Cl (0.2639, 0.9921, 0.0000)
Cl (0.2756, 0.8060, 0.5026)
Cl (0.7244, 0.1940, 0.4974)
Cl (0.7361, 0.0079, 0.0000)
Cl (0.7425, 0.6340, 0.2999)
Cl (0.7471, 0.6290, 0.7028)

The calculation puts the spin magnetization at 0.00 μB per formula unit. The formation energy without anion corrections comes out at -1773 meV per atom.